1.
SrFe2Rh2: optimized geometry, PBE-GGA.

Calculated values
Energy of formation, meV per atom: 18
Offset from the most stable computed form, meV per atom: 0
Space-group type: No. 139

Cell: 4.2087 4.2087 10.6016 Å, 90.00 90.00 90.00°
Fractional coordinates of all 10 atoms:
Sr1 0.0000 0.0000 0.0000
Sr2 0.5000 0.5000 0.5000
Fe1 0.0000 0.5000 0.2500
Fe2 0.0000 0.5000 0.7500
Fe3 0.5000 0.0000 0.2500
Fe4 0.5000 0.0000 0.7500
Rh1 0.0000 0.0000 0.3756
Rh2 0.0000 0.0000 0.6244
Rh3 0.5000 0.5000 0.1244
Rh4 0.5000 0.5000 0.8756

=====

2.
SrFeRh: optimized geometry, PBE-GGA.

Calculated values
Energy of formation, meV per atom: 506
Offset from the most stable computed form, meV per atom: 518
Space-group type: No. 216

Cell: 6.5481 6.5481 6.5481 Å, 90.00 90.00 90.00°
Fractional coordinates of all 12 atoms:
Sr1 0.0000 0.0000 0.0000
Sr2 0.0000 0.5000 0.5000
Sr3 0.5000 0.0000 0.5000
Sr4 0.5000 0.5000 0.0000
Fe1 0.0000 0.0000 0.5000
Fe2 0.0000 0.5000 0.0000
Fe3 0.5000 0.0000 0.0000
Fe4 0.5000 0.5000 0.5000
Rh1 0.2500 0.2500 0.2500
Rh2 0.2500 0.7500 0.7500
Rh3 0.7500 0.2500 0.7500
Rh4 0.7500 0.7500 0.2500